{"formula": "K2BaMg", "functional": "PBE-GGA", "state": "optimized geometry", "formation_enthalpy_0k_mev_per_atom": 232, "dos_at_fermi_per_ev_cell": 5.06, "relative_energy_ev_per_atom": 0.168, "total_magnetization_mub_per_fu": 0.29, "final_energy_ev_per_cell": -4.784, "lattice_angstrom": [[-7.015, -5.181, 11.138], [-3.217, -4.309, 13.084], [-6.213, -1.177, 12.654]], "species": ["K", "K", "Mg", "Ba"], "frac_coords": [[0.510, 0.510, 0.510], [0.990, 0.990, 0.990], [0.250, 0.250, 0.250], [0.750, 0.750, 0.750]]}


{"formula": "Al2CuRh2", "functional": "PBE-GGA", "state": "optimized geometry", "formation_enthalpy_0k_mev_per_atom": -632, "dos_at_fermi_per_ev_cell": 3.49, "relative_energy_ev_per_atom": 0.000, "total_magnetization_mub_per_fu": 0.00, "final_energy_ev_per_cell": -58.891, "lattice_angstrom": [[6.993, 0.000, 0.000], [0.000, 6.993, 0.000], [0.000, 0.000, 2.911]], "species": ["Rh", "Rh", "Rh", "Rh", "Al", "Al", "Al", "Al", "Cu", "Cu"], "frac_coords": [[0.156, 0.656, 0.500], [0.844, 0.344, 0.500], [0.656, 0.844, 0.500], [0.344, 0.156, 0.500], [0.141, 0.359, 0.000], [0.641, 0.141, 0.000], [0.859, 0.641, 0.000], [0.359, 0.859, 0.000], [0.500, 0.500, 0.000], [0.000, 0.000, 0.000]]}


{"formula": "Er2CdNi", "functional": "PBE-GGA", "state": "optimized geometry", "formation_enthalpy_0k_mev_per_atom": 319, "dos_at_fermi_per_ev_cell": 3.44, "relative_energy_ev_per_atom": 0.709, "total_magnetization_mub_per_fu": 0.00, "final_energy_ev_per_cell": -14.545, "lattice_angstrom": [[-0.800, -2.770, 1.614], [1.367, -0.655, 2.936], [-7.483, 3.798, 6.190]], "species": ["Cd", "Er", "Er", "Ni"], "frac_coords": [[0.500, 0.500, 0.500], [0.081, 0.081, 0.757], [0.919, 0.919, 0.243], [0.000, 0.000, 0.000]]}


{"formula": "Sm4TmCd", "functional": "PBE-GGA", "state": "optimized geometry", "formation_enthalpy_0k_mev_per_atom": 8, "dos_at_fermi_per_ev_cell": 15.97, "relative_energy_ev_per_atom": 0.099, "total_magnetization_mub_per_fu": 0.00, "final_energy_ev_per_cell": -48.435, "lattice_angstrom": [[-0.340, 4.927, -4.000], [-2.207, -7.765, -3.972], [-5.587, 2.432, 5.817]], "species": ["Sm", "Sm", "Sm", "Sm", "Sm", "Sm", "Sm", "Sm", "Cd", "Cd", "Tm", "Tm"], "frac_coords": [[0.244, 0.289, 0.383], [0.782, 0.406, 0.238], [0.361, 0.907, 0.617], [0.044, 0.167, 0.762], [0.639, 0.093, 0.383], [0.956, 0.833, 0.238], [0.218, 0.594, 0.762], [0.756, 0.711, 0.617], [0.749, 0.999, 0.998], [0.251, 0.001, 0.002], [0.661, 0.411, 0.822], [0.339, 0.589, 0.178]]}


{"formula": "Ba2YCdAu", "functional": "PBE-GGA", "state": "optimized geometry", "formation_enthalpy_0k_mev_per_atom": 21, "dos_at_fermi_per_ev_cell": 6.35, "total_magnetization_mub_per_fu": 0.00, "final_energy_ev_per_cell": -14.397, "lattice_angstrom": [[6.286, 0.000, 0.000], [0.000, 5.347, 0.000], [0.000, 0.000, 6.286]], "species": ["Y", "Ba", "Ba", "Cd", "Au"], "frac_coords": [[0.500, 0.500, 0.500], [0.500, 0.000, 0.000], [0.000, 0.000, 0.500], [0.000, 0.500, 0.000], [0.000, 0.000, 0.000]]}


{"formula": "TcNiAu2", "functional": "PBE-GGA", "state": "optimized geometry", "formation_enthalpy_0k_mev_per_atom": 362, "dos_at_fermi_per_ev_cell": 6.25, "relative_energy_ev_per_atom": 0.236, "total_magnetization_mub_per_fu": 0.97, "final_energy_ev_per_cell": -21.253, "lattice_angstrom": [[-2.675, -2.921, 2.984], [4.376, 1.192, 2.005], [-1.122, 2.195, 1.142]], "species": ["Au", "Au", "Tc", "Ni"], "frac_coords": [[0.500, 0.500, 0.000], [0.000, 0.000, 0.000], [0.000, 0.500, 0.500], [0.500, 0.000, 0.500]]}


{"formula": "DyFeCo2", "functional": "PBE-GGA", "state": "optimized geometry", "formation_enthalpy_0k_mev_per_atom": -75, "dos_at_fermi_per_ev_cell": 4.66, "relative_energy_ev_per_atom": 0.000, "total_magnetization_mub_per_fu": 4.22, "final_energy_ev_per_cell": -27.575, "lattice_angstrom": [[4.010, 0.000, 0.000], [2.005, 3.473, 0.000], [2.005, 1.158, 4.716]], "species": ["Co", "Co", "Dy", "Fe"], "frac_coords": [[0.195, 0.195, 0.414], [0.805, 0.805, 0.586], [0.000, 0.000, 0.000], [0.500, 0.500, 0.500]]}


{"formula": "CaNdCd3", "functional": "PBE-GGA", "state": "optimized geometry", "formation_enthalpy_0k_mev_per_atom": -321, "dos_at_fermi_per_ev_cell": 7.55, "relative_energy_ev_per_atom": 0.000, "total_magnetization_mub_per_fu": 0.00, "final_energy_ev_per_cell": -22.242, "lattice_angstrom": [[0.090, -3.316, -1.326], [2.556, -1.574, 4.108], [-12.983, -1.440, 7.526]], "species": ["Cd", "Cd", "Cd", "Cd", "Cd", "Cd", "Ca", "Ca", "Nd", "Nd"], "frac_coords": [[0.379, 0.250, 0.759], [0.524, 0.750, 0.047], [0.621, 0.750, 0.241], [0.476, 0.250, 0.953], [0.674, 0.250, 0.348], [0.326, 0.750, 0.652], [0.788, 0.250, 0.577], [0.212, 0.750, 0.423], [0.074, 0.250, 0.148], [0.926, 0.750, 0.852]]}


Copy entry 8 word for word.
{"formula": "CaNdCd3", "functional": "PBE-GGA", "state": "optimized geometry", "formation_enthalpy_0k_mev_per_atom": -321, "dos_at_fermi_per_ev_cell": 7.55, "relative_energy_ev_per_atom": 0.000, "total_magnetization_mub_per_fu": 0.00, "final_energy_ev_per_cell": -22.242, "lattice_angstrom": [[0.090, -3.316, -1.326], [2.556, -1.574, 4.108], [-12.983, -1.440, 7.526]], "species": ["Cd", "Cd", "Cd", "Cd", "Cd", "Cd", "Ca", "Ca", "Nd", "Nd"], "frac_coords": [[0.379, 0.250, 0.759], [0.524, 0.750, 0.047], [0.621, 0.750, 0.241], [0.476, 0.250, 0.953], [0.674, 0.250, 0.348], [0.326, 0.750, 0.652], [0.788, 0.250, 0.577], [0.212, 0.750, 0.423], [0.074, 0.250, 0.148], [0.926, 0.750, 0.852]]}